K3Cl4: optimized geometry, PBE.

The uncorrected formation energy comes out at -1565 meV per atom. The volume comes out at 239.6 Å³/cell. As for the symmetry: I4/mmm.

abc: 12.7347 12.7347 12.7347
angles: 160.08 160.08 28.32
Element x y z (fractional)
K 0.0000 0.0000 0.0000
K 0.6872 0.6872 0.0000
K 0.3128 0.3128 0.0000
Cl 0.8160 0.8160 0.0000
Cl 0.1840 0.1840 0.0000
Cl 0.5529 0.5529 0.0000
Cl 0.4471 0.4471 0.0000

TaAlHg: optimized geometry, PBE.

Its excess energy over the best structure of this formula in the dataset is 0.0 meV per atom. The volume comes out at 55.2 Å³/cell. The formation energy from the elements comes out at 0.14 eV per atom. As for the symmetry: I4mm.

abc: 6.8229 6.8229 6.8229
angles: 155.35 155.35 35.14
Element x y z (fractional)
Al 0.0081 0.0081 0.0000
Hg 0.3345 0.3345 0.0000
Ta 0.6574 0.6574 0.0000

Number 1 is which compound? K3Cl4